The following is a DFT calculation (GGA-PBE) of Y3BiC after structural relaxation.

## Properties
For the polymorph energy (0 for the lowest one), the calculation gives 2.83 eV per formula unit. The calculation puts the formation energy at -0.009 eV per atom. The magnetization is 0.00 μB per formula unit.

Unit cell a=7.8749 b=7.8749 c=7.8749 alpha=56.78 beta=56.78 gamma=56.78
With the nearest neighbours (Å) after each atom.
Element x y z (fractional)
Y 0.9566 0.5434 0.2500  1 C 2.20
Y 0.5434 0.2500 0.9566  1 C 2.20
Y 0.2500 0.9566 0.5434  1 C 2.20
Y 0.7500 0.0434 0.4566  1 C 2.20
Y 0.4566 0.7500 0.0434  1 C 2.20
Y 0.0434 0.4566 0.7500  1 C 2.20
C 0.2500 0.2500 0.2500  3 Y 2.20
C 0.7500 0.7500 0.7500  3 Y 2.20
Bi 0.0000 0.0000 0.0000  6 Y 3.13
Bi 0.5000 0.5000 0.5000  6 Y 3.13